The following is a DFT calculation (PBE) of crystalline CuNiAu2 at its relaxed geometry.

It has space group I-42d (No. 122), with a = 3.833 Å, b = 3.833 Å, c = 18.005 Å, α = 90.00°, β = 90.00° and γ = 90.00°. The distinct sites, in fractional coordinates, are Cu at (0.000, 0.000, 0.000), Ni at (0.000, 0.000, 0.500) and Au at (0.249, 0.250, 0.625).

Its electronic total energy is -3.758 eV per atom. The calculation puts the size of the total moment at 0.00 μB/f.u.

---

The following is a DFT calculation (PBE) of crystalline Cu2NiAu8 at its relaxed geometry.

It has space group Cmmm (No. 65), with a = 8.184 Å, b = 10.779 Å, c = 4.247 Å, α = 90.00°, β = 90.00° and γ = 90.00°. The distinct sites, in fractional coordinates, are Cu at (0.000, 0.115, 0.000), Ni at (0.000, 0.500, 0.500), Au at (0.000, 0.251, 0.500), Au at (0.171, 0.000, 0.500) and Au at (0.172, 0.368, 0.000).

The calculation puts the size of the total moment at 0.00 μB/f.u. The value obtained for the relative energy among the computed polymorphs is 47 meV per atom.

---

The following is a DFT calculation (PBE) of crystalline Cu4NiAu2 at its relaxed geometry.

It has space group I4/mmm (No. 139), with a = 6.196 Å, b = 6.196 Å, c = 5.444 Å, α = 90.00°, β = 90.00° and γ = 90.00°. The distinct sites, in fractional coordinates, are Cu at (0.203, 0.203, 0.000), Ni at (0.000, 0.000, 0.500) and Au at (0.000, 0.500, 0.250).

The calculation puts the size of the total moment at 0.00 μB/f.u. The value obtained for the relative energy among the computed polymorphs is 222 meV per atom.

---

The following is a DFT calculation (PBE) of crystalline Cu7NiAu3 at its relaxed geometry.

It has space group Cmcm (No. 63), with a = 2.709 Å, b = 20.013 Å, c = 11.939 Å, α = 90.00°, β = 90.00° and γ = 90.00°. The distinct sites, in fractional coordinates, are Cu at (0.000, 0.030, 0.087), Cu at (0.000, 0.090, 0.611), Cu at (0.000, 0.103, 0.250), Cu at (0.000, 0.222, 0.579), Ni at (0.000, 0.484, 0.250), Au at (0.000, 0.328, 0.250) and Au at (0.000, 0.353, 0.570).

Its electronic total energy is -3.913 eV per atom. The calculation puts the size of the total moment at 0.00 μB/f.u.

---

The following is a DFT calculation (PBE) of crystalline Cu8Ni2Au at its relaxed geometry.

It has space group C2/m (No. 12), with a = 6.642 Å, b = 12.831 Å, c = 4.403 Å, α = 90.00°, β = 131.12° and γ = 90.00°. The distinct sites, in fractional coordinates, are Cu at (0.000, 0.199, 0.000), Cu at (0.001, 0.500, 0.253), Cu at (0.241, 0.141, 0.742), Ni at (0.000, 0.319, 0.500) and Au at (0.000, 0.000, 0.000).

The calculation puts the size of the total moment at 0.00 μB/f.u. The value obtained for the relative energy among the computed polymorphs is 142 meV per atom.

---

The following is a DFT calculation (PBE) of crystalline CuNiAu at its relaxed geometry.

It has space group C2/m (No. 12), with a = 8.681 Å, b = 3.579 Å, c = 5.555 Å, α = 90.00°, β = 108.90° and γ = 90.00°. The distinct sites, in fractional coordinates, are Cu at (0.177, 0.000, 0.092), Ni at (0.174, 0.000, 0.583) and Au at (0.000, 0.500, 0.251).

The calculation puts the size of the total moment at 0.00 μB/f.u. The value obtained for the relative energy among the computed polymorphs is 10 meV per atom.

---

The following is a DFT calculation (PBE) of crystalline CuNiAu2 at its relaxed geometry.

It has space group Imm2 (No. 44), with a = 2.958 Å, b = 4.439 Å, c = 8.989 Å, α = 90.00°, β = 90.00° and γ = 90.00°. The distinct sites, in fractional coordinates, are Cu at (0.000, 0.000, 0.000), Ni at (0.000, 0.500, 0.725), Au at (0.000, 0.000, 0.473) and Au at (0.000, 0.500, 0.247).

Its electronic total energy is -4.054 eV per atom. The calculation puts the size of the total moment at 0.00 μB/f.u.

---

The following is a DFT calculation (PBE) of crystalline CuNi2Au at its relaxed geometry.

It has space group Fmmm (No. 69), with a = 5.269 Å, b = 5.280 Å, c = 7.444 Å, α = 90.00°, β = 90.00° and γ = 90.00°. The distinct sites, in fractional coordinates, are Cu at (0.000, 0.000, 0.000), Ni at (0.250, 0.250, 0.250) and Au at (0.000, 0.000, 0.500).

Its electronic total energy is -4.655 eV per atom. The calculation puts the size of the total moment at 0.72 μB/f.u.

---

The following is a DFT calculation (PBE) of crystalline CuNi2Au at its relaxed geometry.

It has space group R-3m (No. 166, hexagonal axes), with a = 2.6898 Å, b = 2.6898 Å, c = 25.3041 Å, α = 90.00°, β = 90.00° and γ = 120.00°. The distinct sites, in fractional coordinates, are Cu at (0.0000, 0.0000, 0.0000), Ni at (0.0000, 0.0000, 0.2558) and Au at (0.0000, 0.0000, 0.5000).

Its electronic total energy is -4.572 eV per atom. The calculation puts the size of the total moment at 0.51 μB/f.u.

---

The following is a DFT calculation (PBE) of crystalline CuNi2Au at its relaxed geometry.

It has space group I-42d (No. 122), with a = 3.579 Å, b = 3.579 Å, c = 17.696 Å, α = 90.00°, β = 90.00° and γ = 90.00°. The distinct sites, in fractional coordinates, are Cu at (0.000, 0.000, 0.000), Ni at (0.231, 0.250, 0.125) and Au at (0.000, 0.000, 0.500).

Its electronic total energy is -4.336 eV per atom. The calculation puts the size of the total moment at 0.00 μB/f.u.

---

The following is a DFT calculation (PBE) of crystalline Cu4NiAu3 at its relaxed geometry.

It has space group Fmmm (No. 69), with a = 5.563 Å, b = 5.571 Å, c = 14.636 Å, α = 90.00°, β = 90.00° and γ = 90.00°. The distinct sites, in fractional coordinates, are Cu at (0.250, 0.250, 0.119), Ni at (0.000, 0.000, 0.000), Au at (0.000, 0.000, 0.249) and Au at (0.000, 0.000, 0.500).

Its electronic total energy is -4.013 eV per atom. The calculation puts the size of the total moment at 0.00 μB/f.u.

---

The following is a DFT calculation (PBE) of crystalline CuNiAu at its relaxed geometry.

It has space group Cmcm (No. 63), with a = 3.695 Å, b = 11.529 Å, c = 3.847 Å, α = 90.00°, β = 90.00° and γ = 90.00°. The distinct sites, in fractional coordinates, are Cu at (0.000, 0.093, 0.250), Ni at (0.000, 0.252, 0.750) and Au at (0.000, 0.410, 0.250).

The calculation puts the size of the total moment at 0.00 μB/f.u. The value obtained for the relative energy among the computed polymorphs is 0 meV per atom.